# MgPb3F GGA-PBE optimized geometry
data_MgPb3F
_symmetry_space_group_name_H-M 'P 1'
_symmetry_Int_Tables_number 1
_symmetry_space_group_name_Hall 'P 1'
_cell_length_a 5.142
_cell_length_b 5.142
_cell_length_c 5.142
_cell_angle_alpha 90.00
_cell_angle_beta 90.00
_cell_angle_gamma 90.00
loop_
_atom_site_label
_atom_site_fract_x
_atom_site_fract_y
_atom_site_fract_z
Mg1 0.000 0.000 0.000
Pb1 0.000 0.500 0.500
Pb2 0.500 0.000 0.500
Pb3 0.500 0.500 0.000
F1 0.500 0.500 0.500
# ΔE_f (raw): -0.445 eV per atom
# Energy relative to the lowest polymorph listed for this composition: 0.0 meV/atom
# Space-group type: No. 221
# Total DFT energy (no corrections): -3.363 eV/atom